*w*
Crystalline LaSc2Al2 at its relaxed geometry. Source: Alexandria, functional PBE.

Values from the calculation:
Total magnetization, μB per formula unit: 0.0

```
data_LaSc2Al2
_cell_length_a 4.473
_cell_length_b 4.473
_cell_length_c 12.730
_cell_angle_alpha 90.00
_cell_angle_beta 90.00
_cell_angle_gamma 90.00
_symmetry_space_group_name_H-M 'I 4/m m m'
_symmetry_Int_Tables_number 139
_symmetry_space_group_name_Hall '-I 4 2'
loop_
_atom_site_label
_atom_site_fract_x
_atom_site_fract_y
_atom_site_fract_z
La1 0.000 0.000 0.000
Sc1 0.000 0.500 0.250
Al1 0.000 0.000 0.398
```


*x*
Crystalline LaSc2Al2 at its relaxed geometry. Source: Alexandria, functional PBE.

Values from the calculation:
Total magnetization, μB per formula unit: 0.0

```
data_LaSc2Al2
_cell_length_a 4.630
_cell_length_b 4.630
_cell_length_c 11.977
_cell_angle_alpha 90.00
_cell_angle_beta 90.00
_cell_angle_gamma 90.00
_symmetry_space_group_name_H-M 'I 4/m m m'
_symmetry_Int_Tables_number 139
_symmetry_space_group_name_Hall '-I 4 2'
loop_
_atom_site_label
_atom_site_fract_x
_atom_site_fract_y
_atom_site_fract_z
La1 0.000 0.000 0.000
Sc1 0.000 0.000 0.374
Al1 0.000 0.500 0.250
```


*y*
Crystalline LaSc2Al2 at its relaxed geometry. Source: Alexandria, functional PBE.

Values from the calculation:
Total magnetization, μB per formula unit: 0.0

```
data_LaSc2Al2
_cell_length_a 8.345
_cell_length_b 8.345
_cell_length_c 3.367
_cell_angle_alpha 90.00
_cell_angle_beta 90.00
_cell_angle_gamma 90.00
_symmetry_space_group_name_H-M 'P 4/m b m'
_symmetry_Int_Tables_number 127
_symmetry_space_group_name_Hall '-P 4 2ab'
loop_
_atom_site_label
_atom_site_fract_x
_atom_site_fract_y
_atom_site_fract_z
La1 0.000 0.000 0.000
Sc1 0.179 0.321 0.500
Al1 0.114 0.614 0.000
```


*z*
Crystalline LaSc2Al2 at its relaxed geometry. Source: Alexandria, functional PBE.

Values from the calculation:
Total magnetization, μB per formula unit: 0.0

```
data_LaSc2Al2
_cell_length_a 8.587
_cell_length_b 8.587
_cell_length_c 3.120
_cell_angle_alpha 90.00
_cell_angle_beta 90.00
_cell_angle_gamma 90.00
_symmetry_space_group_name_H-M 'P 4/m b m'
_symmetry_Int_Tables_number 127
_symmetry_space_group_name_Hall '-P 4 2ab'
loop_
_atom_site_label
_atom_site_fract_x
_atom_site_fract_y
_atom_site_fract_z
La1 0.000 0.000 0.000
Sc1 0.125 0.375 0.000
Al1 0.171 0.671 0.500
```


Which structure is the least stable? The one labeled *x*.


*w*
Crystalline La3ScAl8 at its relaxed geometry. Source: Alexandria, functional PBE.

Values from the calculation:
Total magnetization, μB per formula unit: 0.0

```
data_La3ScAl8
_cell_length_a 5.6628
_cell_length_b 5.6628
_cell_length_c 9.3083
_cell_angle_alpha 90.00
_cell_angle_beta 90.00
_cell_angle_gamma 120.00
_symmetry_space_group_name_H-M 'P 3 m 1'
_symmetry_Int_Tables_number 156
loop_
_symmetry_equiv_pos_as_xyz
'x,y,z'
'-y,x-y,z'
'-x+y,-x,z'
'-y,-x,z'
'-x+y,y,z'
'x,x-y,z'
loop_
_atom_site_label
_atom_site_fract_x
_atom_site_fract_y
_atom_site_fract_z
La1 0.0000 0.0000 0.0000
La2 0.0000 0.0000 0.3638
La3 0.3333 0.6667 0.8619
Sc1 0.3333 0.6667 0.4986
Al1 0.0100 0.5050 0.1864
Al2 0.3255 0.1628 0.6725
Al3 0.6667 0.3333 0.4315
Al4 0.6667 0.3333 0.9241
```


*x*
Crystalline La3ScAl8 at its relaxed geometry. Source: Alexandria, functional PBE.

Values from the calculation:
Total magnetization, μB per formula unit: 0.0

```
data_La3ScAl8
_cell_length_a 5.6520
_cell_length_b 5.6520
_cell_length_c 27.9699
_cell_angle_alpha 90.00
_cell_angle_beta 90.00
_cell_angle_gamma 120.00
_symmetry_space_group_name_H-M 'R 3 m'
_symmetry_Int_Tables_number 160
_symmetry_space_group_name_Hall 'R 3 -2"'
loop_
_atom_site_label
_atom_site_fract_x
_atom_site_fract_y
_atom_site_fract_z
La1 0.0000 0.0000 0.0000
La2 0.0000 0.0000 0.1261
La3 0.0000 0.0000 0.5002
Sc1 0.0000 0.0000 0.6255
Al1 0.0000 0.0000 0.3124
Al2 0.0000 0.0000 0.8134
Al3 0.0014 0.5007 0.5651
Al4 0.1678 0.3356 0.3936
```


Which structure is the least stable? The one labeled *w*.


*w*
Crystalline LaAlSe at its relaxed geometry. Source: Alexandria, functional PBE.

Values from the calculation:
Total magnetization, μB per formula unit: 0.0

```
data_LaAlSe
_cell_length_a 4.7181
_cell_length_b 4.7181
_cell_length_c 3.8595
_cell_angle_alpha 90.00
_cell_angle_beta 90.00
_cell_angle_gamma 120.00
_symmetry_space_group_name_H-M 'P -6 m 2'
_symmetry_Int_Tables_number 187
_symmetry_space_group_name_Hall 'P -6 2'
loop_
_atom_site_label
_atom_site_fract_x
_atom_site_fract_y
_atom_site_fract_z
La1 0.0000 0.0000 0.0000
Al1 0.6667 0.3333 0.5000
Se1 0.3333 0.6667 0.5000
```


*x*
Crystalline LaAlSe at its relaxed geometry. Source: Alexandria, functional PBE.

Values from the calculation:
Total magnetization, μB per formula unit: 0.0

```
data_LaAlSe
_cell_length_a 7.143
_cell_length_b 7.143
_cell_length_c 7.143
_cell_angle_alpha 90.00
_cell_angle_beta 90.00
_cell_angle_gamma 90.00
_symmetry_space_group_name_H-M 'F -4 3 m'
_symmetry_Int_Tables_number 216
_symmetry_space_group_name_Hall 'F -4 2 3'
loop_
_atom_site_label
_atom_site_fract_x
_atom_site_fract_y
_atom_site_fract_z
La1 0.000 0.000 0.000
Al1 0.250 0.250 0.750
Se1 0.250 0.250 0.250
```


*y*
Crystalline LaAlSe at its relaxed geometry. Source: Alexandria, functional PBE.

Values from the calculation:
Total magnetization, μB per formula unit: 0.0

```
data_LaAlSe
_cell_length_a 4.6936
_cell_length_b 4.6936
_cell_length_c 26.8245
_cell_angle_alpha 90.00
_cell_angle_beta 90.00
_cell_angle_gamma 120.00
_symmetry_space_group_name_H-M 'R -3 m'
_symmetry_Int_Tables_number 166
_symmetry_space_group_name_Hall '-R 3 2"'
loop_
_atom_site_label
_atom_site_fract_x
_atom_site_fract_y
_atom_site_fract_z
La1 0.0000 0.0000 0.0871
Al1 0.0000 0.0000 0.3354
Se1 0.0000 0.0000 0.2078
```


Which structure is the least stable? The one labeled *x*.